No. 1
Material: LaGaO2
Method: DFT, PBE
State: optimized geometry

Cell lengths 3.716, 3.716, 19.346 Å; angles 90.00, 90.00, 120.00 degrees
Element x y z (fractional)
La (0.000, 0.000, 0.000)
La (0.333, 0.667, 0.667)
La (0.667, 0.333, 0.333)
Ga (0.000, 0.000, 0.500)
Ga (0.333, 0.667, 0.167)
Ga (0.667, 0.333, 0.833)
O (0.000, 0.000, 0.392)
O (0.000, 0.000, 0.608)
O (0.333, 0.667, 0.058)
O (0.333, 0.667, 0.275)
O (0.667, 0.333, 0.725)
O (0.667, 0.333, 0.942)

Output
The calculation puts the uncorrected formation energy at -8.79 eV/f.u. The total energy is -6.67 eV per atom. For the density, the calculation gives 5182 kg/m³. The density of states at the Fermi level is 0.60 states/eV per cell.

No. 2
Material: LaGaO3
Method: DFT, PBE
State: optimized geometry

Cell lengths 6.719, 5.908, 9.604 Å; angles 90.00, 124.74, 90.00 degrees
Element x y z (fractional)
La (0.146, 0.150, 0.239)
La (0.146, 0.350, 0.739)
La (0.854, 0.650, 0.261)
La (0.854, 0.850, 0.761)
Ga (0.303, 0.681, 0.139)
Ga (0.303, 0.819, 0.639)
Ga (0.697, 0.181, 0.361)
Ga (0.697, 0.319, 0.861)
O (0.013, 0.707, 0.593)
O (0.013, 0.793, 0.093)
O (0.230, 0.656, 0.924)
O (0.230, 0.844, 0.424)
O (0.450, 0.088, 0.761)
O (0.450, 0.412, 0.261)
O (0.550, 0.588, 0.739)
O (0.550, 0.912, 0.239)
O (0.770, 0.156, 0.576)
O (0.770, 0.344, 0.076)
O (0.987, 0.207, 0.907)
O (0.987, 0.293, 0.407)

Output
The calculation puts the uncorrected formation energy at -12.59 eV/f.u. The total energy is -7.08 eV per atom. For the density, the calculation gives 5441 kg/m³. The density of states at the Fermi level is 0.00 states/eV per cell.

No. 3
Material: La12Ga3O5
Method: DFT, PBE
State: optimized geometry

Cell lengths 14.088, 14.088, 14.088 Å; angles 109.47, 109.47, 109.47 degrees
Element x y z (fractional)
La (0.016, 0.201, 0.112)
La (0.016, 0.315, 0.905)
La (0.090, 0.701, 0.685)
La (0.090, 0.888, 0.405)
La (0.095, 0.612, 0.410)
La (0.095, 0.984, 0.685)
La (0.112, 0.016, 0.201)
La (0.112, 0.595, 0.910)
La (0.185, 0.201, 0.590)
La (0.185, 0.484, 0.595)
La (0.201, 0.112, 0.016)
La (0.201, 0.590, 0.185)
La (0.299, 0.315, 0.910)
La (0.299, 0.484, 0.388)
La (0.315, 0.905, 0.016)
La (0.315, 0.910, 0.299)
La (0.388, 0.299, 0.484)
La (0.388, 0.590, 0.905)
La (0.405, 0.090, 0.888)
La (0.405, 0.815, 0.516)
La (0.410, 0.095, 0.612)
La (0.410, 0.815, 0.799)
La (0.484, 0.388, 0.299)
La (0.484, 0.595, 0.185)
La (0.516, 0.405, 0.815)
La (0.516, 0.612, 0.701)
La (0.590, 0.185, 0.201)
La (0.590, 0.905, 0.388)
La (0.595, 0.185, 0.484)
La (0.595, 0.910, 0.112)
La (0.612, 0.410, 0.095)
La (0.612, 0.701, 0.516)
La (0.685, 0.090, 0.701)
La (0.685, 0.095, 0.984)
La (0.701, 0.516, 0.612)
La (0.701, 0.685, 0.090)
La (0.799, 0.410, 0.815)
La (0.799, 0.888, 0.984)
La (0.815, 0.516, 0.405)
La (0.815, 0.799, 0.410)
La (0.888, 0.405, 0.090)
La (0.888, 0.984, 0.799)
La (0.905, 0.016, 0.315)
La (0.905, 0.388, 0.590)
La (0.910, 0.112, 0.595)
La (0.910, 0.299, 0.315)
La (0.984, 0.685, 0.095)
La (0.984, 0.799, 0.888)
Ga (0.125, 0.250, 0.375)
Ga (0.125, 0.375, 0.750)
Ga (0.250, 0.375, 0.125)
Ga (0.250, 0.875, 0.625)
Ga (0.375, 0.125, 0.250)
Ga (0.375, 0.750, 0.125)
Ga (0.625, 0.250, 0.875)
Ga (0.625, 0.875, 0.750)
Ga (0.750, 0.125, 0.375)
Ga (0.750, 0.625, 0.875)
Ga (0.875, 0.625, 0.250)
Ga (0.875, 0.750, 0.625)
O (0.000, 0.000, 0.000)
O (0.000, 0.000, 0.500)
O (0.000, 0.500, 0.000)
O (0.000, 0.500, 0.500)
O (0.125, 0.750, 0.875)
O (0.125, 0.875, 0.250)
O (0.250, 0.125, 0.875)
O (0.250, 0.625, 0.375)
O (0.375, 0.250, 0.625)
O (0.375, 0.625, 0.750)
O (0.500, 0.000, 0.000)
O (0.500, 0.000, 0.500)
O (0.500, 0.500, 0.000)
O (0.500, 0.500, 0.500)
O (0.625, 0.375, 0.250)
O (0.625, 0.750, 0.375)
O (0.750, 0.375, 0.625)
O (0.750, 0.875, 0.125)
O (0.875, 0.125, 0.750)
O (0.875, 0.250, 0.125)

Output
The calculation puts the uncorrected formation energy at -31.06 eV/f.u. The total energy is -6.20 eV per atom. For the density, the calculation gives 6037 kg/m³. The density of states at the Fermi level is 78.60 states/eV per cell.

No. 4
Material: LaGa4O7
Method: DFT, PBE
State: optimized geometry

Cell lengths 13.259, 5.318, 5.077 Å; angles 90.00, 90.00, 90.00 degrees
Element x y z (fractional)
La (0.000, 0.087, 0.000)
La (0.500, 0.913, 0.500)
Ga (0.120, 0.655, 0.442)
Ga (0.247, 0.178, 0.416)
Ga (0.253, 0.822, 0.916)
Ga (0.380, 0.345, 0.942)
Ga (0.620, 0.345, 0.942)
Ga (0.747, 0.822, 0.916)
Ga (0.753, 0.178, 0.416)
Ga (0.880, 0.655, 0.442)
O (0.000, 0.797, 0.309)
O (0.119, 0.778, 0.791)
O (0.121, 0.320, 0.326)
O (0.229, 0.838, 0.289)
O (0.271, 0.162, 0.789)
O (0.379, 0.680, 0.826)
O (0.381, 0.222, 0.291)
O (0.500, 0.203, 0.809)
O (0.619, 0.222, 0.291)
O (0.621, 0.680, 0.826)
O (0.729, 0.162, 0.789)
O (0.771, 0.838, 0.289)
O (0.879, 0.320, 0.326)
O (0.881, 0.778, 0.791)

Output
The calculation puts the uncorrected formation energy at -23.95 eV/f.u. The total energy is -6.31 eV per atom. For the density, the calculation gives 4915 kg/m³. The density of states at the Fermi level is 5.65 states/eV per cell.

No. 5
Material: LaGaO3
Method: DFT, PBE
State: optimized geometry

Cell lengths 3.732, 6.028, 5.829 Å; angles 90.00, 90.00, 90.00 degrees
Element x y z (fractional)
La (0.000, 0.173, 0.000)
La (0.000, 0.827, 0.500)
Ga (0.500, 0.310, 0.475)
Ga (0.500, 0.690, 0.975)
O (0.000, 0.236, 0.418)
O (0.000, 0.764, 0.918)
O (0.500, 0.078, 0.714)
O (0.500, 0.415, 0.130)
O (0.500, 0.585, 0.630)
O (0.500, 0.922, 0.214)

Output
The calculation puts the uncorrected formation energy at -13.19 eV/f.u. The total energy is -7.20 eV per atom. For the density, the calculation gives 6499 kg/m³. The density of states at the Fermi level is 0.00 states/eV per cell.

No. 6
Material: La3GaO6
Method: DFT, PBE
State: optimized geometry

Cell lengths 7.597, 7.597, 5.697 Å; angles 90.00, 90.00, 103.00 degrees
Element x y z (fractional)
La (0.105, 0.895, 0.500)
La (0.198, 0.413, 0.462)
La (0.413, 0.198, 0.962)
La (0.587, 0.802, 0.462)
La (0.802, 0.587, 0.962)
La (0.895, 0.105, 0.000)
Ga (0.308, 0.692, 0.924)
Ga (0.692, 0.308, 0.424)
O (0.087, 0.609, 0.761)
O (0.147, 0.171, 0.728)
O (0.171, 0.147, 0.228)
O (0.286, 0.714, 0.249)
O (0.391, 0.913, 0.761)
O (0.455, 0.545, 0.796)
O (0.545, 0.455, 0.296)
O (0.609, 0.087, 0.261)
O (0.714, 0.286, 0.749)
O (0.829, 0.853, 0.728)
O (0.853, 0.829, 0.228)
O (0.913, 0.391, 0.261)

Output
The calculation puts the uncorrected formation energy at -31.05 eV/f.u. The total energy is -7.86 eV per atom. For the density, the calculation gives 6038 kg/m³. The density of states at the Fermi level is 0.00 states/eV per cell.

No. 7
Material: LaGaO2
Method: DFT, PBE
State: optimized geometry

Cell lengths 3.163, 3.163, 20.379 Å; angles 90.00, 90.00, 120.00 degrees
Element x y z (fractional)
La (0.000, 0.000, 0.000)
La (0.333, 0.667, 0.667)
La (0.667, 0.333, 0.333)
Ga (0.000, 0.000, 0.500)
Ga (0.333, 0.667, 0.167)
Ga (0.667, 0.333, 0.833)
O (0.000, 0.000, 0.118)
O (0.000, 0.000, 0.882)
O (0.333, 0.667, 0.549)
O (0.333, 0.667, 0.785)
O (0.667, 0.333, 0.215)
O (0.667, 0.333, 0.451)

Output
The calculation puts the uncorrected formation energy at -6.00 eV/f.u. The total energy is -5.97 eV per atom. For the density, the calculation gives 6788 kg/m³. The density of states at the Fermi level is 4.93 states/eV per cell.

No. 8
Material: La2GaOsO
Method: DFT, PBE
State: optimized geometry

Cell lengths 4.920, 4.920, 4.278 Å; angles 90.00, 90.00, 90.00 degrees
Element x y z (fractional)
La (0.000, 0.500, 0.000)
La (0.500, 0.000, 0.000)
Ga (0.000, 0.000, 0.500)
Os (0.500, 0.500, 0.500)
O (0.000, 0.000, 0.000)

Output
The calculation puts the uncorrected formation energy at -4.36 eV/f.u. The total energy is -6.69 eV per atom. For the density, the calculation gives 8878 kg/m³. The density of states at the Fermi level is 2.38 states/eV per cell.

No. 9
Material: La2PmGaO
Method: DFT, PBE
State: optimized geometry

Cell lengths 5.001, 5.001, 4.903 Å; angles 90.00, 90.00, 90.00 degrees
Element x y z (fractional)
La (0.000, 0.500, 0.000)
La (0.500, 0.000, 0.000)
Pm (0.000, 0.000, 0.500)
Ga (0.500, 0.500, 0.500)
O (0.000, 0.000, 0.000)

Output
The calculation puts the uncorrected formation energy at -6.94 eV/f.u. The total energy is -5.91 eV per atom. For the density, the calculation gives 6887 kg/m³. The density of states at the Fermi level is 2.44 states/eV per cell.

No. 10
Material: LaPr3Ga4O12
Method: DFT, PBE
State: optimized geometry

Cell lengths 5.525, 7.848, 5.596 Å; angles 90.00, 90.04, 90.00 degrees
Element x y z (fractional)
La (0.000, 0.000, 0.000)
Pr (0.020, 0.500, 0.083)
Pr (0.498, 0.500, 0.581)
Pr (0.520, 0.000, 0.494)
Ga (0.009, 0.251, 0.539)
Ga (0.009, 0.749, 0.539)
Ga (0.509, 0.251, 0.037)
Ga (0.509, 0.749, 0.037)
O (0.091, 0.000, 0.555)
O (0.222, 0.296, 0.825)
O (0.222, 0.704, 0.825)
O (0.294, 0.294, 0.325)
O (0.294, 0.706, 0.325)
O (0.431, 0.000, 0.056)
O (0.592, 0.500, 0.019)
O (0.720, 0.207, 0.748)
O (0.720, 0.793, 0.748)
O (0.794, 0.207, 0.251)
O (0.794, 0.793, 0.251)
O (0.927, 0.500, 0.518)

Output
The calculation puts the uncorrected formation energy at -52.67 eV/f.u. The total energy is -7.18 eV per atom. For the density, the calculation gives 7067 kg/m³. The density of states at the Fermi level is 0.00 states/eV per cell.

No. 11
Material: La2PrGaO
Method: DFT, PBE
State: optimized geometry

Cell lengths 4.992, 4.992, 5.005 Å; angles 90.00, 90.00, 90.00 degrees
Element x y z (fractional)
La (0.000, 0.500, 0.000)
La (0.500, 0.000, 0.000)
Pr (0.000, 0.000, 0.500)
Ga (0.500, 0.500, 0.500)
O (0.000, 0.000, 0.000)

Output
The calculation puts the uncorrected formation energy at -6.90 eV/f.u. The total energy is -5.90 eV per atom. For the density, the calculation gives 6716 kg/m³. The density of states at the Fermi level is 2.49 states/eV per cell.

No. 12
Material: LaGaPtO6
Method: DFT, PBE
State: optimized geometry

Cell lengths 5.241, 5.241, 5.208 Å; angles 90.00, 90.00, 120.00 degrees
Element x y z (fractional)
La (0.000, 0.000, 0.000)
Ga (0.333, 0.667, 0.500)
Pt (0.667, 0.333, 0.500)
O (0.367, 0.004, 0.709)
O (0.367, 0.363, 0.291)
O (0.637, 0.004, 0.291)
O (0.637, 0.633, 0.709)
O (0.996, 0.363, 0.709)
O (0.996, 0.633, 0.291)

Output
The calculation puts the uncorrected formation energy at -14.36 eV/f.u. The total energy is -6.46 eV per atom. For the density, the calculation gives 6697 kg/m³. The density of states at the Fermi level is 5.02 states/eV per cell.

No. 13
Material: La2GaPtO6
Method: DFT, PBE
State: optimized geometry

Cell lengths 5.581, 8.088, 5.850 Å; angles 90.00, 90.00, 90.00 degrees
Element x y z (fractional)
La (0.250, 0.024, 0.216)
La (0.250, 0.476, 0.216)
La (0.750, 0.524, 0.784)
La (0.750, 0.976, 0.784)
Ga (0.250, 0.750, 0.753)
Ga (0.750, 0.250, 0.247)
Pt (0.250, 0.250, 0.730)
Pt (0.750, 0.750, 0.270)
O (0.006, 0.250, 0.996)
O (0.020, 0.250, 0.450)
O (0.250, 0.509, 0.789)
O (0.250, 0.991, 0.789)
O (0.480, 0.250, 0.450)
O (0.494, 0.250, 0.996)
O (0.506, 0.750, 0.004)
O (0.520, 0.750, 0.550)
O (0.750, 0.009, 0.211)
O (0.750, 0.491, 0.211)
O (0.980, 0.750, 0.550)
O (0.994, 0.750, 0.004)

Output
The calculation puts the uncorrected formation energy at -20.99 eV/f.u. The total energy is -6.97 eV per atom. For the density, the calculation gives 8031 kg/m³. The density of states at the Fermi level is 3.76 states/eV per cell.

No. 14
Material: LaPuGa2O8
Method: DFT, PBE
State: optimized geometry

Cell lengths 4.848, 4.848, 7.474 Å; angles 90.25, 90.25, 79.42 degrees
Element x y z (fractional)
La (0.000, 0.000, 0.000)
Pu (0.000, 0.000, 0.500)
Ga (0.499, 0.499, 0.811)
Ga (0.501, 0.501, 0.189)
O (0.222, 0.777, 0.724)
O (0.223, 0.778, 0.276)
O (0.242, 0.242, 0.502)
O (0.324, 0.324, 0.000)
O (0.676, 0.676, 0.000)
O (0.758, 0.758, 0.498)
O (0.777, 0.222, 0.724)
O (0.778, 0.223, 0.276)

Output
The calculation puts the uncorrected formation energy at -27.28 eV/f.u. The total energy is -7.69 eV per atom. For the density, the calculation gives 6255 kg/m³.

No. 15
Material: LaPuGaO6
Method: DFT, PBE
State: optimized geometry

Cell lengths 5.350, 5.350, 10.571 Å; angles 90.00, 90.00, 120.00 degrees
Element x y z (fractional)
La (0.000, 0.000, 0.000)
La (0.000, 0.000, 0.500)
Pu (0.333, 0.667, 0.250)
Pu (0.667, 0.333, 0.750)
Ga (0.333, 0.667, 0.750)
Ga (0.667, 0.333, 0.250)
O (0.007, 0.365, 0.643)
O (0.007, 0.642, 0.857)
O (0.358, 0.365, 0.857)
O (0.358, 0.993, 0.643)
O (0.365, 0.007, 0.143)
O (0.365, 0.358, 0.357)
O (0.635, 0.642, 0.643)
O (0.635, 0.993, 0.857)
O (0.642, 0.007, 0.357)
O (0.642, 0.635, 0.143)
O (0.993, 0.358, 0.143)
O (0.993, 0.635, 0.357)

Output
The calculation puts the uncorrected formation energy at -23.16 eV/f.u. The total energy is -8.35 eV per atom. For the density, the calculation gives 6954 kg/m³. The density of states at the Fermi level is 15.98 states/eV per cell.

No. 16
Material: Rb3LaGa2O6
Method: DFT, PBE
State: optimized geometry

Cell lengths 6.339, 6.339, 7.555 Å; angles 90.00, 90.00, 120.00 degrees
Element x y z (fractional)
Rb (0.000, 0.000, 0.000)
Rb (0.333, 0.667, 0.747)
Rb (0.667, 0.333, 0.253)
La (0.000, 0.000, 0.500)
Ga (0.333, 0.667, 0.293)
Ga (0.667, 0.333, 0.707)
O (0.170, 0.341, 0.295)
O (0.170, 0.830, 0.295)
O (0.341, 0.170, 0.705)
O (0.659, 0.830, 0.295)
O (0.830, 0.170, 0.705)
O (0.830, 0.659, 0.705)

Output
The calculation puts the uncorrected formation energy at -23.72 eV/f.u. The total energy is -5.61 eV per atom. For the density, the calculation gives 3984 kg/m³. The density of states at the Fermi level is 0.00 states/eV per cell.

No. 17
Material: La2GaRuO6
Method: DFT, PBE
State: optimized geometry

Cell lengths 5.588, 5.588, 5.588 Å; angles 60.00, 60.00, 60.00 degrees
Element x y z (fractional)
La (0.250, 0.250, 0.250)
La (0.750, 0.750, 0.750)
Ga (0.000, 0.000, 0.000)
Ru (0.500, 0.500, 0.500)
O (0.245, 0.245, 0.755)
O (0.245, 0.755, 0.245)
O (0.245, 0.755, 0.755)
O (0.755, 0.245, 0.245)
O (0.755, 0.245, 0.755)
O (0.755, 0.755, 0.245)

Output
The calculation puts the uncorrected formation energy at -22.67 eV/f.u. The total energy is -7.46 eV per atom. For the density, the calculation gives 7330 kg/m³. The density of states at the Fermi level is 4.20 states/eV per cell.